1.
Entry from the Alexandria database: NaO2F3 after structural relaxation (PBE-GGA).

Raw formation energy = -0.20 eV per atom
Electronic total energy = -3.012 eV/atom
Space group = No. 15

extended XYZ file:
```
12
Lattice="5.105 -2.387 0.000 5.105 2.387 0.000 -2.242 0.000 6.307" Properties=species:S:1:pos:R:3 pbc="T T T"
Na 3.424 2.371 4.730
Na 4.545 -2.371 1.577
O 1.371 0.234 5.782
O 2.492 -0.234 2.628
O 5.476 0.234 3.679
O 6.597 -0.234 0.525
F 1.484 0.157 0.533
F 0.363 -0.157 3.687
F 4.545 0.011 1.577
F 3.424 -0.011 4.730
F 7.605 0.157 2.620
F 6.484 -0.157 5.774
```

2.
Entry from the Alexandria database: NaOF2 after structural relaxation (PBE-GGA).

Raw formation energy = -0.78 eV per atom
Electronic total energy = -3.280 eV/atom
Space group = No. 225

extended XYZ file:
```
4
Lattice="0.000 2.814 2.814 2.814 0.000 2.814 2.814 2.814 0.000" Properties=species:S:1:pos:R:3 pbc="T T T"
Na 0.000 0.000 0.000
O 2.814 2.814 2.814
F 1.407 1.407 1.407
F 4.222 4.222 4.222
```

3.
Entry from the Alexandria database: Na10O4F after structural relaxation (PBE-GGA).

Raw formation energy = -1.25 eV per atom
Electronic total energy = -3.572 eV/atom
Space group = No. 87

extended XYZ file:
```
15
Lattice="-4.516 4.516 2.858 4.516 -4.516 2.858 4.516 4.516 -2.858" Properties=species:S:1:pos:R:3 pbc="T T T"
Na 5.433 2.631 -1.481
Na 2.631 3.599 -1.481
Na 4.516 0.000 1.429
Na 1.885 0.917 1.377
Na -0.917 1.885 1.377
Na 5.433 2.631 1.481
Na 2.631 3.599 1.481
Na 0.000 4.516 1.429
Na 1.885 0.917 4.339
Na -0.917 1.885 4.339
O 6.331 0.922 0.000
O 0.922 2.701 0.000
O 3.594 1.815 2.858
O -1.815 3.594 2.858
F 0.000 0.000 2.858
```

4.
Entry from the Alexandria database: NaOF3 after structural relaxation (PBE-GGA).

Raw formation energy = -0.76 eV per atom
Electronic total energy = -3.134 eV/atom
Space group = No. 221

extended XYZ file:
```
5
Lattice="3.825 0.000 0.000 0.000 3.825 0.000 0.000 0.000 3.825" Properties=species:S:1:pos:R:3 pbc="T T T"
Na 0.000 0.000 0.000
O 1.912 1.912 1.912
F 0.000 1.912 1.912
F 1.912 0.000 1.912
F 1.912 1.912 0.000
```

Question: Among the records above, which one has the lowest electronic total energy?
Answer: Na10O4F

Question: Among the records above, which one has the highest raw formation energy?
Answer: NaO2F3

Question: What is the formula in the fourth record?
Answer: NaOF3

Question: Which value of electronic total energy does entry 4 give?
Answer: -3.134 eV/atom